The following is a PBE calculation of crystalline ZrTaSCl2 at its relaxed geometry, from Alexandria via LeMat-Bulk.

It has space group P4/mmm (No. 123), with a = 4.818 Å, b = 4.818 Å, c = 4.802 Å, α = 90.00°, β = 90.00° and γ = 90.00°. The inequivalent atoms are Zr at (0.000, 0.000, 0.000), Ta at (0.500, 0.500, 0.500), S at (0.500, 0.500, 0.000) and Cl at (0.000, 0.500, 0.500).

For the energy above the lowest structure with this stoichiometry, the calculation gives 0 meV per atom. Its crystal system is tetragonal. For the uncorrected formation energy, the calculation gives 46 meV/atom. The value obtained for the total energy is -5.5982 eV per atom.